A geometry-optimized BaNbCrGe2 structure. Source: Alexandria, functional PBEsol.

Output
* VASP energy: -0.4115 Ry per atom
* formation enthalpy at 0 K: 1.019 eV/atom

a b c (Å): 4.7533 4.7533 5.2399
angles (deg): 90.00 90.00 90.00
Last column: nearest neighbours and their distance in Å.
Positions (direct):
Cr 0.0000 0.0000 0.0000  4 Ge 2.38, 2 Ba 2.62
Nb 0.5000 0.5000 0.5000  4 Ba 3.36, 8 Ge 3.54
Ge 0.0000 0.5000 0.0000  2 Cr 2.38
Ge 0.5000 0.0000 0.0000  2 Cr 2.38
Ba 0.0000 0.0000 0.5000  2 Cr 2.62